# La3TlHg

A relaxed structure of La3TlHg (PBEsol, Alexandria via LeMat-Bulk).

Output
* electronic total energy: -18.42 eV per cell
* DFT formation energy: 0.164 eV per atom
* crystal system: cubic
* SG: No. 221

```
La3TlHg
1.0
5.819 0.000 0.000
0.000 5.819 0.000
0.000 0.000 5.819
La Tl Hg
3 1 1
direct
0.000 0.000 0.500 La
0.000 0.500 0.000 La
0.500 0.000 0.000 La
0.500 0.500 0.500 Tl
0.000 0.000 0.000 Hg
```

# Er

A relaxed structure of Er (PBEsol, Alexandria via LeMat-Bulk).

Output
* electronic total energy: -4.91 eV per cell
* DFT formation energy: 0.020 eV per atom
* crystal system: cubic
* ΔE to the lowest computed polymorph: 20 meV/atom
* SG: No. 225

```
Er
1.0
0.000 2.422 2.422
2.422 0.000 2.422
2.422 2.422 0.000
Er
1
direct
0.000 0.000 0.000 Er
```

# Hg2BCl

A relaxed structure of Hg2BCl (PBEsol, Alexandria via LeMat-Bulk).

Output
* electronic total energy: -6.17 eV per cell
* crystal system: cubic
* energy relative to the elements, uncorrected: 997 meV per atom
* SG: No. 225

```
Hg2BCl
1.0
0.000 3.423 3.423
3.423 0.000 3.423
3.423 3.423 0.000
Hg B Cl
2 1 1
direct
0.250 0.250 0.250 Hg
0.750 0.750 0.750 Hg
0.000 0.000 0.000 B
0.500 0.500 0.500 Cl
```

# Ba2Fe2Bi

A relaxed structure of Ba2Fe2Bi (PBEsol, Alexandria via LeMat-Bulk).

Output
* electronic total energy: -24.57 eV per cell
* DFT formation energy: 0.388 eV per atom
* crystal system: tetragonal
* SG: No. 139

```
Ba2Fe2Bi
1.0
-3.121 3.121 3.838
3.121 -3.121 3.838
3.121 3.121 -3.838
Ba Fe Bi
2 2 1
direct
0.250 0.750 0.500 Ba
0.750 0.250 0.500 Ba
0.134 0.134 0.000 Fe
0.866 0.866 0.000 Fe
0.500 0.500 0.000 Bi
```